No. 1
Entry from Alexandria: Sr2HSeO6 after structural relaxation (PBE).

Its density of states at the Fermi level is 3.9 states/eV/f.u. As for the total energy: -5.594 eV/atom.

The space group is I4mm (No. 107) and the conventional cell measures 5.445, 5.445 and 8.754 Å, with angles of 90.00, 90.00 and 90.00 degrees. The inequivalent atoms are Sr at (0.000, 0.500, 0.000), H at (0.000, 0.000, 0.342), Se at (0.000, 0.000, 0.753), O at (0.000, 0.000, 0.454), O at (0.000, 0.000, 0.951) and O at (0.225, 0.225, 0.716).

No. 2
Entry from Alexandria: Rb3InPb after structural relaxation (PBE).

As for the energy relative to the elements: 1.6 eV per formula unit. As for the distance to the lowest polymorph of the same formula: 335 meV/atom. Its density of states at the Fermi level is 9.3 states/eV/f.u. As for the total energy: -1.545 eV/atom.

The space group is Pm-3m (No. 221) and the conventional cell measures 7.107, 7.107 and 7.107 Å, with angles of 90.00, 90.00 and 90.00 degrees. The inequivalent atoms are Rb at (0.000, 0.000, 0.500), In at (0.500, 0.500, 0.500) and Pb at (0.000, 0.000, 0.000).

No. 3
Entry from Alexandria: CdIrSCl2 after structural relaxation (PBE).

As for the distance to the lowest polymorph of the same formula: 0 meV/atom. Its density of states at the Fermi level is 2.4 states/eV/f.u. Its formation energy without anion corrections is 0.034 eV/atom. As for the total energy: -3.486 eV/atom.

The space group is P4/mmm (No. 123) and the conventional cell measures 4.993, 4.993 and 4.500 Å, with angles of 90.00, 90.00 and 90.00 degrees. The inequivalent atoms are Cd at (0.000, 0.000, 0.000), Ir at (0.500, 0.500, 0.500), S at (0.500, 0.500, 0.000) and Cl at (0.000, 0.500, 0.500).

No. 4
Entry from Alexandria: PrSm2Se4 after structural relaxation (PBE).

As for the distance to the lowest polymorph of the same formula: 36 meV/atom. Its density of states at the Fermi level is 2.6 states/eV/f.u. Its formation energy without anion corrections is -1.832 eV/atom. As for the total energy: -5.855 eV/atom.

The space group is C2/m (No. 12) and the conventional cell measures 15.618, 4.223 and 7.337 Å, with angles of 90.00, 115.92 and 90.00 degrees. The inequivalent atoms are Pr at (0.000, 0.000, 0.000), Sm at (0.232, 0.500, 0.724), Se at (0.127, 0.000, 0.446) and Se at (0.140, 0.500, 0.000).

No. 5
Entry from Alexandria: La2AlFe3Ni12 after structural relaxation (PBE).

As for the energy relative to the elements: 0.7 eV per formula unit. Its density of states at the Fermi level is 17.7 states/eV/f.u. As for the total energy: -5.979 eV/atom.

The space group is R-3m (No. 166, hexagonal axes) and the conventional cell measures 8.4285, 8.4285 and 12.2173 Å, with angles of 90.00, 90.00 and 120.00 degrees. The inequivalent atoms are La at (0.0000, 0.0000, 0.1603), Al at (0.0000, 0.0000, 0.5000), Fe at (0.0000, 0.5000, 0.0000), Ni at (0.0027, 0.5013, 0.3954) and Ni at (0.0229, 0.5114, 0.2053).

No. 6
Entry from Alexandria: CrTcW2 after structural relaxation (PBE).

As for the energy relative to the elements: 0.4 eV per formula unit. As for the distance to the lowest polymorph of the same formula: 91 meV/atom. Its density of states at the Fermi level is 3.9 states/eV/f.u. As for the total energy: -11.365 eV/atom.

The space group is Cmm2 (No. 35) and the conventional cell measures 3.112, 4.412 and 8.624 Å, with angles of 90.00, 90.00 and 90.00 degrees. The inequivalent atoms are Cr at (0.000, 0.000, 0.000), Tc at (0.000, 0.500, 0.233), W at (0.000, 0.000, 0.492) and W at (0.000, 0.500, 0.758).

No. 7
Entry from Alexandria: Nd2GePt2 after structural relaxation (PBE).

As for the energy relative to the elements: -5.2 eV per formula unit. Its density of states at the Fermi level is 3.7 states/eV/f.u. As for the total energy: -6.280 eV/atom.

The space group is C2/m (No. 12) and the conventional cell measures 10.811, 4.321 and 10.975 Å, with angles of 90.00, 118.00 and 90.00 degrees. The inequivalent atoms are Nd at (0.004, 0.000, 0.337), Nd at (0.189, 0.000, 0.108), Ge at (0.214, 0.500, 0.350), Pt at (0.027, 0.500, 0.885) and Pt at (0.151, 0.500, 0.569).

No. 8
Entry from Alexandria: LiCaTmHg after structural relaxation (PBE).

As for the energy relative to the elements: -0.9 eV per formula unit. Its density of states at the Fermi level is 4.0 states/eV/f.u. As for the total energy: -2.404 eV/atom.

The space group is F-43m (No. 216) and the conventional cell measures 7.412, 7.412 and 7.412 Å, with angles of 90.00, 90.00 and 90.00 degrees. The inequivalent atoms are Li at (0.000, 0.000, 0.000), Ca at (0.250, 0.250, 0.750), Tm at (0.250, 0.250, 0.250) and Hg at (0.000, 0.000, 0.500).